# 1
Ni5Ag: optimized geometry, PBE.

Unit cell a=4.702 b=4.702 c=4.702 alpha=60.00 beta=60.00 gamma=60.00
Fractional coordinates of all 6 atoms:
Ni (0.000, 0.000, 0.000)
Ni (0.375, 0.375, 0.375)
Ni (0.375, 0.375, 0.876)
Ni (0.375, 0.876, 0.375)
Ni (0.876, 0.375, 0.375)
Ag (0.750, 0.750, 0.750)

Its size of the total moment is 1.0 Bohr magnetons per cell. For the energy, the calculation gives -30.41 eV per cell. The calculated volume comes out at 12.3 Å³ per atom.



# 2
SrLi3Y: optimized geometry, PBE.

Unit cell a=5.360 b=5.360 c=5.360 alpha=90.00 beta=90.00 gamma=90.00
Fractional coordinates of all 5 atoms:
Sr (0.000, 0.000, 0.000)
Li (0.000, 0.000, 0.500)
Li (0.000, 0.500, 0.000)
Li (0.500, 0.000, 0.000)
Y (0.500, 0.500, 0.500)

The relative energy among the computed polymorphs is 0.1031 eV/atom. Its size of the total moment is 0.0 Bohr magnetons per cell. The calculated volume comes out at 30.8 Å³ per atom.



> Which formula does entry 2 have?

SrLi3Y



> Which value of calculated volume does entry 1 give?

12.3 Å³ per atom



> calculated volume of number 1 (Ni5Ag)?

12.3 Å³ per atom



> Among the records above, which one has the highest calculated volume?

SrLi3Y